No. 1
# LiAc3In12 PBE optimized geometry
# Fermi-level density of states: 6.81 states/eV/cell
# symmetry: No. 123
# formation energy: -0.33 eV per atom
data_LiAc3In12
_cell_length_a 4.869
_cell_length_b 4.869
_cell_length_c 19.035
_cell_angle_alpha 90.00
_cell_angle_beta 90.00
_cell_angle_gamma 90.00
_space_group_name_H-M_alt 'P 1'
_space_group_IT_number 1
loop_
_space_group_symop_operation_xyz
'x,y,z'
loop_
_atom_site_label
_atom_site_type_symbol
_atom_site_fract_x
_atom_site_fract_y
_atom_site_fract_z
_atom_site_occupancy
Li1 Li 0.000 0.000 0.000 1
Ac1 Ac 0.000 0.000 0.236 1
Ac2 Ac 0.000 0.000 0.500 1
Ac3 Ac 0.000 0.000 0.764 1
In1 In 0.000 0.500 0.105 1
In2 In 0.000 0.500 0.369 1
In3 In 0.000 0.500 0.631 1
In4 In 0.000 0.500 0.895 1
In5 In 0.500 0.000 0.105 1
In6 In 0.500 0.000 0.369 1
In7 In 0.500 0.000 0.631 1
In8 In 0.500 0.000 0.895 1
In9 In 0.500 0.500 0.000 1
In10 In 0.500 0.500 0.250 1
In11 In 0.500 0.500 0.500 1
In12 In 0.500 0.500 0.750 1

No. 2
# LiAcIn5 PBE optimized geometry
# Fermi-level density of states: 1.38 states/eV/cell
# symmetry: No. 123
# formation energy: -0.28 eV per atom
data_LiAcIn5
_cell_length_a 4.903
_cell_length_b 4.903
_cell_length_c 7.917
_cell_angle_alpha 90.00
_cell_angle_beta 90.00
_cell_angle_gamma 90.00
_space_group_name_H-M_alt 'P 1'
_space_group_IT_number 1
loop_
_space_group_symop_operation_xyz
'x,y,z'
loop_
_atom_site_label
_atom_site_type_symbol
_atom_site_fract_x
_atom_site_fract_y
_atom_site_fract_z
_atom_site_occupancy
Li1 Li 0.000 0.000 0.000 1
Ac1 Ac 0.000 0.000 0.500 1
In1 In 0.000 0.500 0.194 1
In2 In 0.000 0.500 0.806 1
In3 In 0.500 0.000 0.194 1
In4 In 0.500 0.000 0.806 1
In5 In 0.500 0.500 0.500 1

No. 3
# LiAc2In3 PBE optimized geometry
# Fermi-level density of states: 3.26 states/eV/cell
# polymorph energy (0 for the lowest one): 0 meV per atom
# symmetry: No. 8
# formation energy: -0.42 eV per atom
data_LiAc2In3
_cell_length_a 6.449
_cell_length_b 6.449
_cell_length_c 8.187
_cell_angle_alpha 129.05
_cell_angle_beta 129.05
_cell_angle_gamma 46.73
_space_group_name_H-M_alt 'P 1'
_space_group_IT_number 1
loop_
_space_group_symop_operation_xyz
'x,y,z'
loop_
_atom_site_label
_atom_site_type_symbol
_atom_site_fract_x
_atom_site_fract_y
_atom_site_fract_z
_atom_site_occupancy
Li1 Li 0.000 0.000 0.000 1
Ac1 Ac 0.633 0.633 0.451 1
Ac2 Ac 0.707 0.707 0.022 1
In1 In 0.007 0.007 0.627 1
In2 In 0.320 0.320 0.432 1
In3 In 0.340 0.340 0.860 1